Below is crystalline ReH2Ir2 at its relaxed geometry, with properties calculated at the PBE level.

Lattice parameters (Å, degrees): 6.1177 6.1177 2.7995 90.00 90.00 90.00
Space group P4/mbm (No. 127)
Symmetry-distinct sites (fractional):
Re (0.0000, 0.0000, 0.0000) (multiplicity 2)
H (0.2201, 0.2799, 0.0000) (multiplicity 4)
Ir (0.1478, 0.6478, 0.5000) (multiplicity 4)

## Properties
**Final energy**: -7.025 eV per atom
**DOS(E_F)**: 2.75 states/eV/f.u.

Below is crystalline HfGa2Ir at its relaxed geometry, with properties calculated at the PBE level.

Lattice parameters (Å, degrees): 7.2680 7.2680 5.4626 90.00 90.00 90.00
Space group I-42d (No. 122)
Symmetry-distinct sites (fractional):
Hf (0.0000, 0.0000, 0.0000) (multiplicity 4)
Ga (0.2171, 0.2500, 0.6250) (multiplicity 8)
Ir (0.0000, 0.0000, 0.5000) (multiplicity 4)

## Properties
**DOS(E_F)**: 2.06 states/eV/f.u.
**Formation energy**: -1.0 eV per formula unit

Below is crystalline AcSmGe4 at its relaxed geometry, with properties calculated at the PBE level.

Lattice parameters (Å, degrees): 8.2480 8.2480 8.2480 90.00 90.00 90.00
Space group F-43m (No. 216)
Symmetry-distinct sites (fractional):
Ac (0.0000, 0.0000, 0.0000) (multiplicity 4)
Sm (0.2500, 0.2500, 0.2500) (multiplicity 4)
Ge (0.1197, 0.1197, 0.6197) (multiplicity 16)

## Properties
**DOS(E_F)**: 5.38 states/eV/f.u.
**Formation energy**: -2.1 eV per formula unit

Below is crystalline CuGeF3 at its relaxed geometry, with properties calculated at the PBE level.

Lattice parameters (Å, degrees): 4.2881 4.2881 4.2881 90.00 90.00 90.00
Space group Pm-3m (No. 221)
Symmetry-distinct sites (fractional):
Cu (0.0000, 0.0000, 0.0000) (multiplicity 1)
Ge (0.5000, 0.5000, 0.5000) (multiplicity 1)
F (0.0000, 0.5000, 0.5000) (multiplicity 3)

## Properties
**DOS(E_F)**: 0.76 states/eV/f.u.
**Energy relative to the elements, uncorrected**: -6.2 eV per formula unit

Below is crystalline PrAlCo4 at its relaxed geometry, with properties calculated at the PBE level.

Lattice parameters (Å, degrees): 5.1753 5.1753 3.8652 90.00 90.00 120.00
Space group P-6m2 (No. 187)
Symmetry-distinct sites (fractional):
Pr (0.0000, 0.0000, 0.0000) (multiplicity 1)
Al (0.3333, 0.6667, 0.0000) (multiplicity 1)
Co (0.5041, 0.0082, 0.5000) (multiplicity 3)
Co (0.6667, 0.3333, 0.0000) (multiplicity 1)

## Properties
**DOS(E_F)**: 7.16 states/eV/f.u.
**Formation energy**: -1.0 eV per formula unit

Below is crystalline Dy4Ga3Ru at its relaxed geometry, with properties calculated at the PBE level.

Lattice parameters (Å, degrees): 3.5129 3.5129 14.3004 90.00 90.00 90.00
Space group P4/mmm (No. 123)
Symmetry-distinct sites (fractional):
Dy (0.0000, 0.0000, 0.1140) (multiplicity 2)
Dy (0.0000, 0.0000, 0.3710) (multiplicity 2)
Ga (0.5000, 0.5000, 0.2449) (multiplicity 2)
Ga (0.5000, 0.5000, 0.5000) (multiplicity 1)
Ru (0.5000, 0.5000, 0.0000) (multiplicity 1)

## Properties
**DOS(E_F)**: 4.38 states/eV/f.u.
**Formation energy**: -4.4 eV per formula unit

Below is crystalline BeNbAl at its relaxed geometry, with properties calculated at the PBE level.

Lattice parameters (Å, degrees): 3.9630 3.9630 3.1137 90.00 90.00 120.00
Space group P-6m2 (No. 187)
Symmetry-distinct sites (fractional):
Be (0.0000, 0.0000, 0.0000) (multiplicity 1)
Nb (0.3333, 0.6667, 0.5000) (multiplicity 1)
Al (0.6667, 0.3333, 0.0000) (multiplicity 1)

## Properties
**DOS(E_F)**: 0.77 states/eV/f.u.
**Formation energy**: -0.7 eV per formula unit

Below is crystalline PmSm7Dy4 at its relaxed geometry, with properties calculated at the PBE level.

Lattice parameters (Å, degrees): 6.2865 7.2588 8.9508 90.00 76.47 89.99
Space group P-1 (No. 2)
Symmetry-distinct sites (fractional):
Pm (0.0000, 0.0000, 0.0000) (multiplicity 1)
Sm (0.0000, 0.5000, 0.0000) (multiplicity 1)
Sm (0.2222, 0.9998, 0.3343) (multiplicity 2)
Sm (0.2794, 0.2515, 0.6649) (multiplicity 2)
Sm (0.5002, 0.2521, 0.0008) (multiplicity 2)
Dy (0.2199, 0.4999, 0.3346) (multiplicity 2)
Dy (0.2785, 0.7479, 0.6660) (multiplicity 2)

## Properties
**DOS(E_F)**: 15.00 states/eV/f.u.
**Formation energy**: 0.0 eV per formula unit

Below is crystalline CaTb5Bi6 at its relaxed geometry, with properties calculated at the PBE level.

Lattice parameters (Å, degrees): 7.8146 13.5452 7.8187 90.00 109.49 90.00
Space group C2/m (No. 12)
Symmetry-distinct sites (fractional):
Ca (0.0000, 0.0000, 0.0000) (multiplicity 2)
Tb (0.0000, 0.1649, 0.5000) (multiplicity 4)
Tb (0.0000, 0.3325, 0.0000) (multiplicity 4)
Tb (0.0000, 0.5000, 0.5000) (multiplicity 2)
Bi (0.2461, 0.5000, 0.2513) (multiplicity 4)
Bi (0.2468, 0.3313, 0.7477) (multiplicity 8)

## Properties
**DOS(E_F)**: 3.23 states/eV/f.u.
**Formation energy**: -10.1 eV per formula unit

Below is crystalline LaB4Ru at its relaxed geometry, with properties calculated at the PBE level.

Lattice parameters (Å, degrees): 6.1157 11.8499 3.6926 90.00 90.00 90.00
Space group Pbam (No. 55)
Symmetry-distinct sites (fractional):
La (0.1263, 0.1505, 0.0000) (multiplicity 4)
B (0.0233, 0.6869, 0.5000) (multiplicity 4)
B (0.1093, 0.5447, 0.5000) (multiplicity 4)
B (0.1423, 0.9685, 0.5000) (multiplicity 4)
B (0.2204, 0.8180, 0.5000) (multiplicity 4)
Ru (0.1374, 0.4089, 0.0000) (multiplicity 4)

## Properties
**DOS(E_F)**: 0.91 states/eV/f.u.
**Formation energy**: -2.9 eV per formula unit

Below is crystalline CsRb2NaLi at its relaxed geometry, with properties calculated at the PBE level.

Lattice parameters (Å, degrees): 7.4041 7.4041 6.4714 90.00 90.00 90.00
Space group P4/mmm (No. 123)
Symmetry-distinct sites (fractional):
Cs (0.0000, 0.0000, 0.0000) (multiplicity 1)
Rb (0.0000, 0.5000, 0.5000) (multiplicity 2)
Na (0.5000, 0.5000, 0.0000) (multiplicity 1)
Li (0.5000, 0.5000, 0.5000) (multiplicity 1)

## Properties
**DOS(E_F)**: 2.53 states/eV/f.u.
**Formation energy**: 0.6 eV per formula unit

Below is crystalline Ca3TaGe at its relaxed geometry, with properties calculated at the PBE level.

Lattice parameters (Å, degrees): 5.5533 5.5533 5.5533 90.00 90.00 90.00
Space group Pm-3m (No. 221)
Symmetry-distinct sites (fractional):
Ca (0.0000, 0.0000, 0.5000) (multiplicity 3)
Ta (0.0000, 0.0000, 0.0000) (multiplicity 1)
Ge (0.5000, 0.5000, 0.5000) (multiplicity 1)

## Properties
**DOS(E_F)**: 9.80 states/eV/f.u.
**Formation energy**: 5.8 eV per formula unit